Record 1
Entry from Alexandria: a relaxed structure of K2Rb8NaAu (GGA-PBE).

Computed properties:
energy relative to the elements = -0.027 eV/atom
SG = P-1

abc: 8.636 11.724 9.990
angles: 72.78 78.02 104.28
Element x y z (fractional)
Rb (0.813, 0.356, 0.247)
Rb (0.357, 0.066, 0.704)
Rb (0.871, 0.218, 0.785)
Rb (0.643, 0.934, 0.296)
Rb (0.293, 0.233, 0.062)
Rb (0.707, 0.767, 0.938)
Rb (0.129, 0.782, 0.215)
Rb (0.187, 0.644, 0.753)
K (0.686, 0.553, 0.617)
K (0.314, 0.447, 0.383)
Au (0.000, 0.000, 0.000)
Na (0.000, 0.000, 0.500)

=====

Record 2
Entry from Alexandria: a relaxed structure of Rb2NaIr (GGA-PBE).

Computed properties:
energy relative to the elements = 0.979 eV/atom
relative energy among the computed polymorphs = 15.6 kJ/mol of atoms
SG = I-42d

abc: 4.885 4.885 11.756
angles: 78.01 78.01 90.00
Last column: magnetic moment on the atom in μB.
Element x y z (fractional)
Rb (0.375, 0.363, 0.750)  0.00
Rb (0.637, 0.125, 0.250)  0.00
Rb (0.113, 0.625, 0.250)  0.00
Rb (0.875, 0.887, 0.750)  0.00
Ir (0.000, 0.000, 0.000)  -0.06
Ir (0.750, 0.250, 0.500)  -0.06
Na (0.500, 0.500, 0.000)  0.00
Na (0.250, 0.750, 0.500)  0.00

=====

Record 3
Entry from Alexandria: a relaxed structure of PrDy7Tm5 (GGA-PBE).

Computed properties:
energy relative to the elements = 0.248 eV/atom
SG = Imm2

abc: 6.637 8.658 8.658
angles: 79.99 67.46 67.46
Element x y z (fractional)
Dy (0.018, 0.654, 0.310)
Dy (0.520, 0.152, 0.809)
Dy (0.264, 0.236, 0.236)
Dy (0.520, 0.809, 0.152)
Dy (0.577, 0.423, 0.423)
Dy (0.018, 0.310, 0.654)
Dy (0.271, 0.729, 0.729)
Tm (0.532, 0.000, 0.463)
Tm (0.770, 0.730, 0.730)
Tm (0.532, 0.463, 0.000)
Tm (0.005, 0.463, 0.000)
Tm (0.005, 0.000, 0.463)
Pr (0.968, 0.032, 0.032)

=====

Record 4
Entry from Alexandria: a relaxed structure of NaBe3V (GGA-PBE).

Computed properties:
energy relative to the elements = 1.697 eV/atom
relative energy among the computed polymorphs = 41.4 kJ/mol of atoms
SG = Pm-3m

abc: 4.030 4.030 4.030
angles: 90.00 90.00 90.00
Element x y z (fractional)
Na (0.000, 0.000, 0.000)
Be (0.500, 0.000, 0.000)
Be (0.000, 0.000, 0.500)
Be (0.000, 0.500, 0.000)
V (0.500, 0.500, 0.500)

=====

Record 5
Entry from Alexandria: a relaxed structure of CaBi3Pb4 (GGA-PBE).

Computed properties:
energy relative to the elements = -0.177 eV/atom
SG = C2/m

abc: 5.139 4.595 11.230
angles: 101.75 103.23 90.00
Element x y z (fractional)
Pb (0.631, 0.631, 0.262)
Pb (0.758, 0.257, 0.515)
Pb (0.369, 0.369, 0.738)
Pb (0.242, 0.743, 0.485)
Ca (0.500, 0.000, 0.000)
Bi (0.119, 0.119, 0.237)
Bi (0.000, 0.500, 0.000)
Bi (0.881, 0.881, 0.763)

=====

Record 6
Entry from Alexandria: a relaxed structure of OsC2I (GGA-PBE).

Computed properties:
formation energy without anion corrections = 125.5 kJ/mol of atoms
relative energy among the computed polymorphs = 0.0 kJ/mol of atoms
SG = I4_1/amd

abc: 6.131 6.131 6.123
angles: 59.95 59.95 90.00
Element x y z (fractional)
C (0.875, 0.625, 0.250)
C (0.875, 0.125, 0.250)
C (0.375, 0.125, 0.750)
C (0.875, 0.125, 0.750)
Os (0.000, 0.000, 0.000)
Os (0.750, 0.250, 0.500)
I (0.500, 0.500, 0.000)
I (0.250, 0.750, 0.500)

=====

Record 7
Entry from Alexandria: a relaxed structure of ErAuBr6 (GGA-PBE).

Computed properties:
formation energy without anion corrections = -88.1 kJ/mol of atoms
SG = P-1

abc: 8.460 9.073 7.291
angles: 60.09 60.45 39.17
Element x y z (fractional)
Br (0.286, 0.906, 0.148)
Br (0.714, 0.094, 0.852)
Br (0.876, 0.479, 0.335)
Br (0.124, 0.521, 0.665)
Br (0.380, 0.785, 0.705)
Br (0.620, 0.215, 0.295)
Au (0.000, 0.000, 0.000)
Er (0.500, 0.500, 0.500)

=====

Record 8
Entry from Alexandria: a relaxed structure of Tl2PtPb (GGA-PBE).

Computed properties:
energy relative to the elements = 0.158 eV/atom
relative energy among the computed polymorphs = 20.2 kJ/mol of atoms
SG = P4/mmm

abc: 5.070 4.468 4.468
angles: 90.00 90.00 90.00
Element x y z (fractional)
Tl (0.000, 0.500, 0.500)
Tl (0.000, 0.000, 0.000)
Pt (0.500, 0.000, 0.500)
Pb (0.500, 0.500, 0.000)

=====

Record 9
Entry from Alexandria: a relaxed structure of TaBeCo (GGA-PBE).

Computed properties:
energy relative to the elements = -0.046 eV/atom
relative energy among the computed polymorphs = 25.4 kJ/mol of atoms
SG = Cmcm

abc: 3.102 3.884 6.407
angles: 90.00 104.01 90.00
Element x y z (fractional)
Co (0.619, 0.250, 0.238)
Co (0.381, 0.750, 0.762)
Be (0.752, 0.750, 0.504)
Be (0.248, 0.250, 0.496)
Ta (0.086, 0.750, 0.171)
Ta (0.914, 0.250, 0.829)

=====

Record 10
Entry from Alexandria: a relaxed structure of CoRe4Se (GGA-PBE).

Computed properties:
formation energy without anion corrections = 91.2 kJ/mol of atoms
SG = F-43m

abc: 5.190 5.190 5.190
angles: 60.00 60.00 60.00
Last column: magnetic moment on the atom in μB.
Element x y z (fractional)
Re (0.875, 0.375, 0.375)  0.05
Re (0.375, 0.375, 0.375)  0.05
Re (0.375, 0.875, 0.375)  0.05
Re (0.375, 0.375, 0.875)  0.05
Co (0.000, 0.000, 0.000)  1.78
Se (0.750, 0.750, 0.750)  -0.01

=====

Record 11
Entry from Alexandria: a relaxed structure of NbGe2AsO (GGA-PBE).

Computed properties:
formation energy without anion corrections = 116.0 kJ/mol of atoms
SG = P4/mmm

abc: 4.870 4.864 4.870
angles: 90.00 90.00 90.00
Element x y z (fractional)
Ge (0.000, 0.000, 0.500)
Ge (0.500, 0.000, 0.000)
O (0.500, 0.500, 0.500)
As (0.000, 0.000, 0.000)
Nb (0.000, 0.500, 0.000)

=====

Record 12
Entry from Alexandria: a relaxed structure of Sr3AgAs2Pd9 (GGA-PBE).

Computed properties:
energy relative to the elements = -0.368 eV/atom
SG = P-3m1

abc: 6.865 6.865 8.458
angles: 90.00 90.00 120.00
Element x y z (fractional)
Sr (0.000, 0.000, 0.000)
Sr (0.667, 0.333, 0.306)
Sr (0.333, 0.667, 0.694)
As (0.333, 0.667, 0.163)
As (0.667, 0.333, 0.837)
Pd (0.604, 0.802, 0.379)
Pd (0.396, 0.198, 0.621)
Pd (0.000, 0.500, 0.000)
Pd (0.802, 0.198, 0.621)
Pd (0.198, 0.396, 0.379)
Pd (0.198, 0.802, 0.379)
Pd (0.802, 0.604, 0.621)
Pd (0.500, 0.000, 0.000)
Pd (0.500, 0.500, 0.000)
Ag (0.000, 0.000, 0.500)

=====

Record 13
Entry from Alexandria: a relaxed structure of TiOsPb3 (GGA-PBE).

Computed properties:
energy relative to the elements = 1.070 eV/atom
relative energy among the computed polymorphs = 0.0 kJ/mol of atoms
SG = Pm-3m

abc: 5.271 5.271 5.271
angles: 90.00 90.00 90.00
Last column: magnetic moment on the atom in μB.
Element x y z (fractional)
Pb (0.000, 0.000, 0.500)  -0.01
Pb (0.000, 0.500, 0.000)  -0.01
Pb (0.500, 0.000, 0.000)  0.00
Os (0.000, 0.000, 0.000)  -0.22
Ti (0.500, 0.500, 0.500)  -0.05

=====

Record 14
Entry from Alexandria: a relaxed structure of AcCd5Pd2 (GGA-PBE).

Computed properties:
energy relative to the elements = -0.409 eV/atom
SG = Immm

abc: 4.318 6.961 6.961
angles: 75.21 71.93 71.93
Element x y z (fractional)
Cd (0.000, 0.500, 0.500)
Cd (0.655, 0.161, 0.528)
Cd (0.655, 0.528, 0.161)
Cd (0.345, 0.839, 0.472)
Cd (0.345, 0.472, 0.839)
Pd (0.275, 0.225, 0.225)
Pd (0.725, 0.775, 0.775)
Ac (0.000, 0.000, 0.000)

=====

Record 15
Entry from Alexandria: a relaxed structure of W5Se (GGA-PBE).

Computed properties:
formation energy without anion corrections = 36.8 kJ/mol of atoms
relative energy among the computed polymorphs = 13.3 kJ/mol of atoms
SG = Cmmm

abc: 5.312 5.312 4.483
angles: 90.00 90.00 130.19
Element x y z (fractional)
Se (0.500, 0.500, 0.000)
W (0.000, 0.000, 0.500)
W (0.836, 0.164, 0.000)
W (0.164, 0.836, 0.000)
W (0.330, 0.670, 0.500)
W (0.670, 0.330, 0.500)

=====

Record 16
Entry from Alexandria: a relaxed structure of B2MoPtI (GGA-PBE).

Computed properties:
formation energy without anion corrections = 254.3 kJ/mol of atoms
SG = P4/mmm

abc: 4.287 5.003 4.287
angles: 90.00 90.00 90.00
Element x y z (fractional)
B (0.500, 0.000, 0.000)
B (0.000, 0.000, 0.500)
Mo (0.500, 0.500, 0.500)
I (0.000, 0.000, 0.000)
Pt (0.000, 0.500, 0.000)

=====

Record 17
Entry from Alexandria: a relaxed structure of Co5Ru (GGA-PBE).

Computed properties:
energy relative to the elements = 0.083 eV/atom
relative energy among the computed polymorphs = 0.0 kJ/mol of atoms
SG = Amm2

abc: 2.549 6.721 4.064
angles: 90.00 90.00 79.07
Last column: magnetic moment on the atom in μB.
Element x y z (fractional)
Co (0.330, 0.339, 0.000)  1.15
Co (0.218, 0.564, 0.500)  1.55
Co (0.559, 0.882, 0.500)  1.52
Co (0.667, 0.666, 0.000)  1.73
Co (0.004, 0.992, 0.000)  1.50
Ru (0.889, 0.223, 0.500)  0.04

=====

Record 18
Entry from Alexandria: a relaxed structure of HfNiAgH2 (GGA-PBE).

Computed properties:
calculated total energy = -4.6716 eV per atom
SG = P4/mmm

abc: 3.552 5.186 3.552
angles: 90.00 90.00 90.00
Element x y z (fractional)
Ag (0.000, 0.000, 0.000)
Ni (0.000, 0.500, 0.000)
H (0.000, 0.000, 0.500)
H (0.500, 0.000, 0.000)
Hf (0.500, 0.500, 0.500)

=====

Record 19
Entry from Alexandria: a relaxed structure of LiMnBeIr (GGA-PBE).

Computed properties:
energy relative to the elements = -0.134 eV/atom
SG = F-43m

abc: 4.020 4.020 4.020
angles: 60.00 60.00 60.00
Last column: magnetic moment on the atom in μB.
Element x y z (fractional)
Ir (0.750, 0.750, 0.750)  0.26
Be (0.500, 0.500, 0.500)  -0.04
Li (0.000, 0.000, 0.000)  -0.01
Mn (0.250, 0.250, 0.250)  3.44

=====

Record 20
Entry from Alexandria: a relaxed structure of Sr2CdHPb (GGA-PBE).

Computed properties:
calculated total energy = -2.6453 eV per atom
SG = P4/mmm

abc: 5.223 5.223 4.833
angles: 90.00 90.00 90.00
Element x y z (fractional)
H (0.000, 0.000, 0.000)
Sr (0.000, 0.500, 0.000)
Sr (0.500, 0.000, 0.000)
Pb (0.500, 0.500, 0.500)
Cd (0.000, 0.000, 0.500)